Computed, not measured: a geometry-optimized RbTi2Cu structure at the GGA-PBE level of DFT.

Calculated values
Mass density in g/cm³: 3.6
Space-group type: I4_1/amd, No. 141
Energy of formation in meV per atom: 1207
DFT total energy in eV/atom: -4.007
Magnetic moment in μB per atom: 0.000
Relative energy among the computed polymorphs in eV per atom: 0.000

a = 4.8035 Å, b = 4.8035 Å, c = 19.5288 Å
α = 90.00°, β = 90.00°, γ = 90.00°
Closest atoms and distances in Å follow each position.
Element x y z (fractional)
Rb 0.0000 0.2500 0.3750  4 Cu 3.40, 8 Ti 3.63
Rb 0.0000 0.7500 0.6250  4 Cu 3.40, 8 Ti 3.63
Rb 0.5000 0.2500 0.1250  4 Cu 3.40, 8 Ti 3.63
Rb 0.5000 0.7500 0.8750  4 Cu 3.40, 8 Ti 3.63
Ti 0.0000 0.0000 0.0000  2 Ti 2.40
Ti 0.0000 0.5000 0.0000  2 Ti 2.40
Ti 0.2500 0.2500 0.7500  2 Ti 2.40
Ti 0.2500 0.7500 0.2500  2 Ti 2.40
Ti 0.5000 0.0000 0.5000  2 Ti 2.40
Ti 0.5000 0.5000 0.5000  2 Ti 2.40
Ti 0.7500 0.2500 0.7500  2 Ti 2.40
Ti 0.7500 0.7500 0.2500  2 Ti 2.40
Cu 0.0000 0.2500 0.8750  4 Ti 2.72
Cu 0.0000 0.7500 0.1250  4 Ti 2.72
Cu 0.5000 0.2500 0.6250  4 Ti 2.72
Cu 0.5000 0.7500 0.3750  4 Ti 2.72